1.
A relaxed structure of MgPt2Au, computed with PBE.

Output
E_form: -463 meV/atom
total magnetic moment: 0.000 μB/cell
E: -4.702 eV per atom

Cell: 4.7737 4.7737 2.9825 Å, 90.00 90.00 105.77°
Closest atoms and distances in Å follow each position.
Atoms (fractional coordinates):
Mg: 0.0000 0.0000 0.0000  8 Pt 2.81, 2 Au 2.88, 2 Mg 2.98
Pt: 0.0000 0.5000 0.5000  4 Mg 2.81, 4 Au 2.81, 4 Pt 2.88-2.98
Pt: 0.5000 0.0000 0.5000  4 Mg 2.81, 4 Au 2.81, 4 Pt 2.88-2.98
Au: 0.5000 0.5000 0.0000  8 Pt 2.81, 2 Mg 2.88, 2 Au 2.98

***

2.
A relaxed structure of NaAcBi2, computed with PBE.

Output
energy above the lowest structure with this stoichiometry: 0.2991 eV per atom
E_form: -332 meV/atom
total magnetic moment: 0.000 μB/cell
E: -3.629 eV per atom

Cell: 11.2529 11.2529 11.2529 Å, 19.20 19.20 19.20°
Closest atoms and distances in Å follow each position.
Atoms (fractional coordinates):
Na: 0.0000 0.0000 0.0000  6 Bi 3.39, 6 Na 3.75
Ac: 0.5000 0.5000 0.5000  6 Bi 3.64, 6 Ac 3.75
Bi: 0.2548 0.2548 0.2548  3 Na 3.39, 3 Ac 3.64, 6 Bi 3.75
Bi: 0.7452 0.7452 0.7452  3 Na 3.39, 3 Ac 3.64, 6 Bi 3.75

***

3.
A relaxed structure of EuHfAl2, computed with PBE.

Output
E_form: -239 meV/atom
total magnetic moment: 7.053 μB/cell
E: -7.167 eV per atom

Cell: 3.1519 3.1519 8.7602 Å, 90.00 90.00 90.00°
Closest atoms and distances in Å follow each position.
Atoms (fractional coordinates):
Eu: 0.0000 0.0000 0.0000  4 Eu 3.15, 8 Al 3.29
Hf: 0.0000 0.0000 0.5000  8 Al 2.97, 4 Hf 3.15
Al: 0.5000 0.5000 0.2757  4 Hf 2.97, 4 Al 3.15, 4 Eu 3.29
Al: 0.5000 0.5000 0.7243  4 Hf 2.97, 4 Al 3.15, 4 Eu 3.29